[1]
The following is a DFT calculation (PBE) of an optimized crystal structure of LaTbPm2H.

Cell and atoms, written as POSCAR:
```
LaTbPm2H
1.0
5.142 0.000 0.000
0.000 5.142 0.000
0.000 0.000 5.118
La Tb Pm H
1 1 2 1
direct
0.000 0.000 0.000
0.500 0.500 0.000
0.000 0.500 0.500
0.500 0.000 0.500
0.500 0.500 0.500
```

---

[2]
The following is a DFT calculation (PBE) of an optimized crystal structure of LaTb2PmH.

Cell and atoms, written as POSCAR:
```
LaTb2PmH
1.0
5.101 0.000 0.000
0.000 5.101 0.000
0.000 0.000 5.100
La Tb Pm H
1 2 1 1
direct
0.000 0.000 0.000
0.000 0.500 0.500
0.500 0.000 0.500
0.500 0.500 0.000
0.500 0.500 0.500
```

---

[3]
The following is a DFT calculation (PBE) of an optimized crystal structure of La2Pm4Tl3H2.

Cell and atoms, written as POSCAR:
```
La2Pm4Tl3H2
1.0
-2.461 2.461 12.725
2.461 -2.461 12.725
2.461 2.461 -12.725
La Pm Tl H
2 4 3 2
direct
0.198 0.198 0.000
0.802 0.802 0.000
0.083 0.583 0.500
0.417 0.917 0.500
0.583 0.083 0.500
0.917 0.417 0.500
0.329 0.329 0.000
0.500 0.500 0.000
0.671 0.671 0.000
0.100 0.100 0.000
0.900 0.900 0.000
```

---

[4]
The following is a DFT calculation (PBE) of an optimized crystal structure of La2PmTmH.

Cell and atoms, written as POSCAR:
```
La2PmTmH
1.0
5.208 0.000 0.000
0.000 5.208 0.000
0.000 0.000 5.053
La Pm Tm H
2 1 1 1
direct
0.000 0.500 0.000
0.500 0.000 0.000
0.000 0.000 0.500
0.500 0.500 0.500
0.500 0.500 0.000
```

---

[5]
The following is a DFT calculation (PBE) of an optimized crystal structure of LaPm2TmH.

Cell and atoms, written as POSCAR:
```
LaPm2TmH
1.0
5.126 0.000 0.000
0.000 5.126 0.000
0.000 0.000 5.067
La Pm Tm H
1 2 1 1
direct
0.000 0.000 0.000
0.000 0.500 0.500
0.500 0.000 0.500
0.500 0.500 0.000
0.500 0.500 0.500
```

---

[6]
The following is a DFT calculation (PBE) of an optimized crystal structure of La2PmYH.

Cell and atoms, written as POSCAR:
```
La2PmYH
1.0
5.227 0.000 0.000
0.000 5.227 0.000
0.000 0.000 5.106
La Pm Y H
2 1 1 1
direct
0.000 0.500 0.000
0.500 0.000 0.000
0.000 0.000 0.500
0.500 0.500 0.500
0.500 0.500 0.000
```

---

[7]
The following is a DFT calculation (PBE) of an optimized crystal structure of La2Pr2H.

Cell and atoms, written as POSCAR:
```
La2Pr2H
1.0
5.251 0.000 0.000
0.000 5.251 0.000
0.000 0.000 5.257
La Pr H
2 2 1
direct
0.000 0.000 0.000
0.500 0.500 0.000
0.000 0.500 0.500
0.500 0.000 0.500
0.000 0.000 0.500
```

Calculated values
Excess energy over the best structure of this formula in the dataset, meV per atom: 0

---

[8]
The following is a DFT calculation (PBE) of an optimized crystal structure of La3Pr5H12.

Cell and atoms, written as POSCAR:
```
La3Pr5H12
1.0
-6.946 6.946 6.946
6.946 -6.946 6.946
6.946 6.946 -6.946
La Pr H
12 20 48
direct
0.125 0.250 0.375
0.125 0.375 0.750
0.250 0.375 0.125
0.250 0.875 0.625
0.375 0.125 0.250
0.375 0.750 0.125
0.625 0.250 0.875
0.625 0.875 0.750
0.750 0.125 0.375
0.750 0.625 0.875
0.875 0.625 0.250
0.875 0.750 0.625
0.000 0.000 0.000
0.000 0.000 0.500
0.000 0.500 0.000
0.000 0.500 0.500
0.125 0.750 0.875
0.125 0.875 0.250
0.250 0.125 0.875
0.250 0.625 0.375
0.375 0.250 0.625
0.375 0.625 0.750
0.500 0.000 0.000
0.500 0.000 0.500
0.500 0.500 0.000
0.500 0.500 0.500
0.625 0.375 0.250
0.625 0.750 0.375
0.750 0.375 0.625
0.750 0.875 0.125
0.875 0.125 0.750
0.875 0.250 0.125
0.066 0.226 0.150
0.066 0.340 0.916
0.076 0.726 0.660
0.076 0.850 0.416
0.084 0.650 0.424
0.084 0.934 0.660
0.150 0.066 0.226
0.150 0.584 0.924
0.160 0.226 0.576
0.160 0.434 0.584
0.226 0.150 0.066
0.226 0.576 0.160
0.274 0.340 0.924
0.274 0.434 0.350
0.340 0.916 0.066
0.340 0.924 0.274
0.350 0.274 0.434
0.350 0.576 0.916
0.416 0.076 0.850
0.416 0.840 0.566
0.424 0.084 0.650
0.424 0.840 0.774
0.434 0.350 0.274
0.434 0.584 0.160
0.566 0.416 0.840
0.566 0.650 0.726
0.576 0.160 0.226
0.576 0.916 0.350
0.584 0.160 0.434
0.584 0.924 0.150
0.650 0.424 0.084
0.650 0.726 0.566
0.660 0.076 0.726
0.660 0.084 0.934
0.726 0.566 0.650
0.726 0.660 0.076
0.774 0.424 0.840
0.774 0.850 0.934
0.840 0.566 0.416
0.840 0.774 0.424
0.850 0.416 0.076
0.850 0.934 0.774
0.916 0.066 0.340
0.916 0.350 0.576
0.924 0.150 0.584
0.924 0.274 0.340
0.934 0.660 0.084
0.934 0.774 0.850
```

---

[9]
The following is a DFT calculation (PBE) of an optimized crystal structure of La4PrH10.

Cell and atoms, written as POSCAR:
```
La4PrH10
1.0
1.984 1.145 16.211
-1.984 1.145 16.211
0.000 -2.290 16.211
La Pr H
4 1 10
direct
0.100 0.100 0.100
0.300 0.300 0.300
0.700 0.700 0.700
0.900 0.900 0.900
0.500 0.500 0.500
0.050 0.050 0.050
0.151 0.151 0.151
0.250 0.250 0.250
0.350 0.350 0.350
0.451 0.451 0.451
0.549 0.549 0.549
0.650 0.650 0.650
0.750 0.750 0.750
0.849 0.849 0.849
0.950 0.950 0.950
```

---

[10]
The following is a DFT calculation (PBE) of an optimized crystal structure of La4PrH8.

Cell and atoms, written as POSCAR:
```
La4PrH8
1.0
6.057 0.000 0.000
0.000 6.057 0.000
0.000 0.000 6.057
La Pr H
4 1 8
direct
0.000 0.000 0.000
0.000 0.500 0.500
0.500 0.000 0.500
0.500 0.500 0.000
0.500 0.500 0.500
0.263 0.263 0.263
0.263 0.263 0.737
0.263 0.737 0.263
0.263 0.737 0.737
0.737 0.263 0.263
0.737 0.263 0.737
0.737 0.737 0.263
0.737 0.737 0.737
```

---

[11]
The following is a DFT calculation (PBE) of an optimized crystal structure of La2Pr4H.

Cell and atoms, written as POSCAR:
```
La2Pr4H
1.0
5.041 0.000 0.000
0.000 5.041 0.000
0.000 0.000 17.982
La Pr H
4 8 2
direct
0.000 0.000 0.149
0.000 0.000 0.851
0.500 0.500 0.351
0.500 0.500 0.649
0.000 0.000 0.349
0.000 0.000 0.651
0.000 0.500 0.000
0.000 0.500 0.500
0.500 0.000 0.000
0.500 0.000 0.500
0.500 0.500 0.151
0.500 0.500 0.849
0.000 0.000 0.500
0.500 0.500 0.000
```

---

[12]
The following is a DFT calculation (PBE) of an optimized crystal structure of LaPrH.

Cell and atoms, written as POSCAR:
```
LaPrH
1.0
3.769 0.000 0.000
-1.884 3.264 0.000
0.000 0.000 6.095
La Pr H
1 1 1
direct
0.000 0.000 0.000
0.333 0.667 0.479
0.667 0.333 0.243
```

Calculated values
Excess energy over the best structure of this formula in the dataset, meV per atom: 0

---

[13]
The following is a DFT calculation (PBE) of an optimized crystal structure of LaPrH4.

Cell and atoms, written as POSCAR:
```
LaPrH4
1.0
3.948 0.000 0.000
0.000 3.948 0.000
0.000 0.000 5.585
La Pr H
1 1 4
direct
0.000 0.000 0.000
0.500 0.500 0.500
0.000 0.500 0.255
0.000 0.500 0.745
0.500 0.000 0.255
0.500 0.000 0.745
```

---

[14]
The following is a DFT calculation (PBE) of an optimized crystal structure of LaPrH2.

Cell and atoms, written as POSCAR:
```
LaPrH2
1.0
3.656 0.000 0.000
-1.828 3.166 0.000
0.000 0.000 18.837
La Pr H
3 3 6
direct
0.000 0.000 0.000
0.333 0.667 0.667
0.667 0.333 0.333
0.000 0.000 0.824
0.333 0.667 0.491
0.667 0.333 0.158
0.000 0.000 0.235
0.000 0.000 0.414
0.333 0.667 0.081
0.333 0.667 0.901
0.667 0.333 0.568
0.667 0.333 0.748
```

Calculated values
Excess energy over the best structure of this formula in the dataset, meV per atom: 108

---

[15]
The following is a DFT calculation (PBE) of an optimized crystal structure of LaPrH2.

Cell and atoms, written as POSCAR:
```
LaPrH2
1.0
3.683 0.000 0.000
-1.841 3.189 0.000
0.000 0.000 18.098
La Pr H
3 3 6
direct
0.000 0.000 0.000
0.333 0.667 0.667
0.667 0.333 0.333
0.000 0.000 0.500
0.333 0.667 0.167
0.667 0.333 0.833
0.000 0.000 0.248
0.000 0.000 0.752
0.333 0.667 0.418
0.333 0.667 0.915
0.667 0.333 0.085
0.667 0.333 0.582
```

Calculated values
Excess energy over the best structure of this formula in the dataset, meV per atom: 0

---

[16]
The following is a DFT calculation (PBE) of an optimized crystal structure of LaPr2H7.

Cell and atoms, written as POSCAR:
```
LaPr2H7
1.0
-1.950 1.950 8.366
1.950 -1.950 8.366
1.950 1.950 -8.366
La Pr H
1 2 7
direct
0.000 0.000 0.000
0.333 0.333 0.000
0.667 0.667 0.000
0.088 0.588 0.500
0.250 0.750 0.500
0.412 0.912 0.500
0.500 0.500 0.000
0.588 0.088 0.500
0.750 0.250 0.500
0.912 0.412 0.500
```

---

[17]
The following is a DFT calculation (PBE) of an optimized crystal structure of LaPr3H8.

Cell and atoms, written as POSCAR:
```
LaPr3H8
1.0
-2.780 2.780 5.565
2.780 -2.780 5.565
2.780 2.780 -5.565
La Pr H
1 3 8
direct
0.000 0.000 0.000
0.250 0.750 0.500
0.500 0.500 0.000
0.750 0.250 0.500
0.126 0.126 0.504
0.126 0.622 0.000
0.378 0.378 0.504
0.378 0.874 0.000
0.622 0.126 0.000
0.622 0.622 0.496
0.874 0.378 0.000
0.874 0.874 0.496
```

---

[18]
The following is a DFT calculation (PBE) of an optimized crystal structure of La2Pr2H.

Cell and atoms, written as POSCAR:
```
La2Pr2H
1.0
5.266 0.000 0.000
0.000 5.266 0.000
0.000 0.000 5.258
La Pr H
2 2 1
direct
0.000 0.500 0.000
0.500 0.000 0.000
0.000 0.000 0.500
0.500 0.500 0.500
0.000 0.000 0.000
```

Calculated values
Excess energy over the best structure of this formula in the dataset, meV per atom: 2

---

[19]
The following is a DFT calculation (PBE) of an optimized crystal structure of LaPrH2.

Cell and atoms, written as POSCAR:
```
LaPrH2
1.0
3.747 0.000 0.000
-1.873 3.245 0.000
0.000 0.000 11.970
La Pr H
2 2 4
direct
0.000 0.000 0.000
0.000 0.000 0.500
0.333 0.667 0.250
0.667 0.333 0.750
0.333 0.667 0.623
0.333 0.667 0.877
0.667 0.333 0.123
0.667 0.333 0.377
```

Calculated values
Excess energy over the best structure of this formula in the dataset, meV per atom: 45

---

[20]
The following is a DFT calculation (PBE) of an optimized crystal structure of LaPr2H2.

Cell and atoms, written as POSCAR:
```
LaPr2H2
1.0
3.791 0.000 0.000
-1.895 3.283 0.000
0.000 0.000 17.804
La Pr H
2 4 4
direct
0.333 0.667 0.250
0.667 0.333 0.750
0.333 0.667 0.584
0.333 0.667 0.916
0.667 0.333 0.084
0.667 0.333 0.416
0.000 0.000 0.165
0.000 0.000 0.335
0.000 0.000 0.665
0.000 0.000 0.835
```

---

[21]
The following is a DFT calculation (PBE) of an optimized crystal structure of LaPrH.

Cell and atoms, written as POSCAR:
```
LaPrH
1.0
3.520 0.000 0.000
0.000 3.520 0.000
0.000 0.000 12.690
La Pr H
2 2 2
direct
0.000 0.000 0.000
0.500 0.500 0.500
0.000 0.000 0.715
0.500 0.500 0.215
0.000 0.000 0.187
0.500 0.500 0.687
```

Calculated values
Excess energy over the best structure of this formula in the dataset, meV per atom: 77

---

[22]
The following is a DFT calculation (PBE) of an optimized crystal structure of LaPrH.

Cell and atoms, written as POSCAR:
```
LaPrH
1.0
4.013 0.000 0.000
-2.006 3.475 0.000
0.000 0.000 5.764
La Pr H
1 1 1
direct
0.000 0.000 0.000
0.667 0.333 0.500
0.667 0.333 0.000
```

Calculated values
Excess energy over the best structure of this formula in the dataset, meV per atom: 12

---

no.,E (eV/atom),size of the total moment (μB per atom)
1,-4.66,0.000
2,-4.63,0.000
3,-4.20,0.000
4,-4.66,0.000
5,-4.62,0.000
6,-5.06,0.000
7,-4.74,0.000
8,-4.38,0.000
9,-4.52,0.000
10,-4.17,0.114
11,-4.56,0.000
12,-4.56,0.000
13,-4.50,0.000
14,-4.42,0.000
15,-4.52,0.000
16,-4.41,0.000
17,-4.47,0.000
18,-4.73,0.000
19,-4.48,0.000
20,-4.51,0.000
21,-4.48,0.000
22,-4.55,0.157